Record 1
Here is a relaxed structure of RbIn2GaBi from Alexandria. Energies are from GGA-PBE.

abc: 7.1278 7.1278 7.1278
angles: 137.14 137.14 62.23
Closest atoms and distances in Å follow each position.
Atoms (fractional coordinates):
Rb 0.0000 0.0000 0.0000  8 In 3.97, 4 Bi 4.01, 4 Ga 4.01
In 0.3795 0.3795 0.0000  1 In 2.94, 2 Bi 3.05, 2 Ga 3.05
In 0.6205 0.6205 0.0000  1 In 2.94, 2 Bi 3.05, 2 Ga 3.05
Ga 0.2500 0.7500 0.5000  4 In 3.05
Bi 0.7500 0.2500 0.5000  4 In 3.05

Values from the calculation:
Formation energy: -52 kJ/mol of formula units
Total energy: -2.78 eV/atom
Mass density: 5955 kg/m³

=====

Record 2
Here is a relaxed structure of InGaRe2Bi from Alexandria. Energies are from GGA-PBE.

abc: 5.1338 5.1338 5.4472
angles: 90.00 90.00 90.00
Closest atoms and distances in Å follow each position.
Atoms (fractional coordinates):
In 0.0000 0.0000 0.0000  4 Ga 3.63, 8 Re 3.74
Ga 0.5000 0.5000 0.0000  2 Bi 2.72
Re 0.0000 0.5000 0.5000  2 Bi 2.57
Re 0.5000 0.0000 0.5000  2 Bi 2.57
Bi 0.5000 0.5000 0.5000  4 Re 2.57, 2 Ga 2.72

Values from the calculation:
Formation energy: 1078 kJ/mol of formula units
Total energy: -4.67 eV/atom
Mass density: 8859 kg/m³